--- w ---
Compound: KCoRe2
Source: the Alexandria database
Functional: GGA-PBE
Structure: optimized geometry

Structure (POSCAR):
```
KCoRe2
1.0
2.6415 -5.0850 0.0000
2.6415 5.0850 0.0000
0.0000 0.0000 2.5363
K Co Re
1 1 2
Direct
0.0000 0.0000 0.0000
0.5000 0.5000 0.0000
0.0000 0.5000 0.5000
0.5000 0.0000 0.5000
```

As for the space group: No. 65.

--- x ---
Compound: KCoRe2
Source: the Alexandria database
Functional: GGA-PBE
Structure: optimized geometry

Structure (POSCAR):
```
KCoRe2
1.0
2.6532 0.0000 0.0000
0.0000 3.8014 0.0000
0.0000 0.0000 7.8928
K Co Re
1 1 2
Direct
0.0000 0.0000 0.0000
0.5000 0.5000 0.6714
0.0000 0.0000 0.5360
0.5000 0.5000 0.3617
```

As for the space group: No. 25.

x ends up most stable, edging out the next structure by 0.648 eV/atom.

--- w ---
Compound: KCo2Re
Source: the Alexandria database
Functional: GGA-PBE
Structure: optimized geometry

Structure (POSCAR):
```
KCo2Re
1.0
0.0000 3.0989 3.0989
3.0989 0.0000 3.0989
3.0989 3.0989 0.0000
K Co Re
1 2 1
Direct
0.0000 0.0000 0.0000
0.2500 0.2500 0.2500
0.5000 0.5000 0.5000
0.7500 0.7500 0.7500
```

As for the space group: No. 216.

--- x ---
Compound: KCo2Re
Source: the Alexandria database
Functional: GGA-PBE
Structure: optimized geometry

Structure (POSCAR):
```
KCo2Re
1.0
4.9552 0.0000 0.0000
0.0000 4.9552 0.0000
0.0000 0.0000 2.5763
K Co Re
1 2 1
Direct
0.0000 0.0000 0.0000
0.0000 0.5000 0.5000
0.5000 0.0000 0.5000
0.5000 0.5000 0.0000
```

As for the space group: No. 123.

x ends up most stable, edging out the next structure by 0.555 eV/atom.

--- w ---
Compound: KCo2Re
Source: the Alexandria database
Functional: GGA-PBE
Structure: optimized geometry

Structure (POSCAR):
```
KCo2Re
1.0
2.6353 0.0000 0.0000
0.0000 3.9917 0.0000
-1.1926 0.0000 7.2979
K Co Re
1 2 1
Direct
0.0000 0.0000 0.0000
0.2785 0.0000 0.4883
0.3527 0.5000 0.6656
0.7245 0.5000 0.3765
```

As for the space group: No. 6.

--- x ---
Compound: KCo2Re
Source: the Alexandria database
Functional: GGA-PBE
Structure: optimized geometry

Structure (POSCAR):
```
KCo2Re
1.0
-3.5405 3.5405 3.2359
3.5405 -3.5405 3.2359
3.5405 3.5405 -3.2359
K Co Re
2 4 2
Direct
0.0000 0.0000 0.0000
0.7500 0.2500 0.5000
0.2086 0.6250 0.0836
0.3750 0.4586 0.5836
0.5414 0.1250 0.9164
0.8750 0.7914 0.4164
0.2500 0.7500 0.5000
0.5000 0.5000 0.0000
```

As for the space group: No. 122.

--- y ---
Compound: KCo2Re
Source: the Alexandria database
Functional: GGA-PBE
Structure: optimized geometry

Structure (POSCAR):
```
KCo2Re
1.0
-1.2773 2.4956 5.1346
1.2773 -2.4956 5.1346
1.2773 2.4956 -5.1346
K Co Re
1 2 1
Direct
0.0000 0.0000 0.0000
0.5132 0.5132 0.0000
0.7156 0.2156 0.5000
0.2968 0.7968 0.5000
```

As for the space group: No. 44.

--- z ---
Compound: KCo2Re
Source: the Alexandria database
Functional: GGA-PBE
Structure: optimized geometry

Structure (POSCAR):
```
KCo2Re
1.0
2.6632 0.0000 0.0000
0.0000 2.6632 0.0000
0.0000 0.0000 9.1679
K Co Re
1 2 1
Direct
0.0000 0.0000 0.0000
0.0000 0.0000 0.5241
0.5000 0.5000 0.6910
0.5000 0.5000 0.3247
```

As for the space group: No. 99.

z ends up most stable, edging out the next structure by 0.077 eV/atom.

--- w ---
Compound: KCo2Re
Source: the Alexandria database
Functional: GGA-PBE
Structure: optimized geometry

Structure (POSCAR):
```
KCo2Re
1.0
4.0918 -1.3302 0.0000
4.0918 1.3302 0.0000
-0.4762 0.0000 7.0089
K Co Re
1 2 1
Direct
0.0000 0.0000 0.0000
0.2362 0.2362 0.6393
0.7638 0.7638 0.3607
0.5000 0.5000 0.5000
```

As for the space group: No. 12.

--- x ---
Compound: KCo2Re
Source: the Alexandria database
Functional: GGA-PBE
Structure: optimized geometry

Structure (POSCAR):
```
KCo2Re
1.0
0.0000 3.1343 3.1343
3.1343 0.0000 3.1343
3.1343 3.1343 0.0000
K Co Re
1 2 1
Direct
0.0000 0.0000 0.0000
0.2500 0.2500 0.2500
0.7500 0.7500 0.7500
0.5000 0.5000 0.5000
```

As for the space group: No. 225.

w ends up most stable, edging out the next structure by 0.735 eV/atom.

--- w ---
Compound: KCoRh2
Source: the Alexandria database
Functional: GGA-PBE
Structure: optimized geometry

Structure (POSCAR):
```
KCoRh2
1.0
2.7457 0.0000 0.0000
0.0000 4.2469 0.0000
-1.3519 0.0000 6.7836
K Co Rh
1 1 2
Direct
0.0000 0.0000 0.0000
0.3318 0.5000 0.6654
0.2444 0.0000 0.4883
0.6805 0.5000 0.3584
```

As for the space group: No. 6.

--- x ---
Compound: KCoRh2
Source: the Alexandria database
Functional: GGA-PBE
Structure: optimized geometry

Structure (POSCAR):
```
KCoRh2
1.0
2.7414 0.0000 0.0000
0.0000 4.9195 0.0000
0.0000 0.0000 4.9375
K Co Rh
1 1 2
Direct
0.0000 0.0000 0.0000
0.5000 0.0000 0.5000
0.0000 0.5000 0.5000
0.5000 0.5000 0.0000
```

As for the space group: No. 47.

w ends up most stable, edging out the next structure by 0.358 eV/atom.

--- w ---
Compound: KCoRh2
Source: the Alexandria database
Functional: GGA-PBE
Structure: optimized geometry

Structure (POSCAR):
```
KCoRh2
1.0
2.8742 -4.4012 0.0000
2.8742 4.4012 0.0000
0.0000 0.0000 2.6270
K Co Rh
1 1 2
Direct
0.0000 0.0000 0.0000
0.5000 0.5000 0.0000
0.0000 0.5000 0.5000
0.5000 0.0000 0.5000
```

As for the space group: No. 65.

--- x ---
Compound: KCoRh2
Source: the Alexandria database
Functional: GGA-PBE
Structure: optimized geometry

Structure (POSCAR):
```
KCoRh2
1.0
2.8296 0.0000 0.0000
0.0000 2.8296 0.0000
0.0000 0.0000 8.7826
K Co Rh
1 1 2
Direct
0.0000 0.0000 0.0000
0.5000 0.5000 0.6838
0.0000 0.0000 0.5114
0.5000 0.5000 0.3043
```

As for the space group: No. 99.

--- y ---
Compound: KCoRh2
Source: the Alexandria database
Functional: GGA-PBE
Structure: optimized geometry

Structure (POSCAR):
```
KCoRh2
1.0
-2.4553 2.4553 7.8965
2.4553 -2.4553 7.8965
2.4553 2.4553 -7.8965
K Co Rh
2 2 4
Direct
0.0000 0.0000 0.0000
0.7500 0.2500 0.5000
0.2500 0.7500 0.5000
0.5000 0.5000 0.0000
0.2946 0.6250 0.1696
0.3750 0.5446 0.6696
0.4554 0.1250 0.8304
0.8750 0.7054 0.3304
```

As for the space group: No. 122.

--- z ---
Compound: KCoRh2
Source: the Alexandria database
Functional: GGA-PBE
Structure: optimized geometry

Structure (POSCAR):
```
KCoRh2
1.0
4.0806 0.0000 0.0000
0.0000 4.0806 0.0000
0.0000 0.0000 4.1118
K Co Rh
1 1 2
Direct
0.0000 0.0000 0.0000
0.5000 0.5000 0.0000
0.0000 0.5000 0.5000
0.5000 0.0000 0.5000
```

As for the space group: No. 123.

x ends up most stable, edging out the next structure by 0.358 eV/atom.

--- w ---
Compound: KCoRh2
Source: the Alexandria database
Functional: GGA-PBE
Structure: optimized geometry

Structure (POSCAR):
```
KCoRh2
1.0
0.0000 3.2267 3.2267
3.2267 0.0000 3.2267
3.2267 3.2267 0.0000
K Co Rh
1 1 2
Direct
0.0000 0.0000 0.0000
0.7500 0.7500 0.7500
0.2500 0.2500 0.2500
0.5000 0.5000 0.5000
```

As for the space group: No. 216.

--- x ---
Compound: KCoRh2
Source: the Alexandria database
Functional: GGA-PBE
Structure: optimized geometry

Structure (POSCAR):
```
KCoRh2
1.0
4.1677 -1.3787 0.0000
4.1677 1.3787 0.0000
-0.6734 0.0000 6.8467
K Co Rh
1 1 2
Direct
0.0000 0.0000 0.0000
0.5000 0.5000 0.5000
0.2298 0.2298 0.6558
0.7702 0.7702 0.3442
```

As for the space group: No. 12.

x ends up most stable, edging out the next structure by 0.435 eV/atom.

--- w ---
Compound: KCoRh2
Source: the Alexandria database
Functional: GGA-PBE
Structure: optimized geometry

Structure (POSCAR):
```
KCoRh2
1.0
-1.3625 2.5540 5.1020
1.3625 -2.5540 5.1020
1.3625 2.5540 -5.1020
K Co Rh
1 1 2
Direct
0.0000 0.0000 0.0000
0.7162 0.2162 0.5000
0.2894 0.7894 0.5000
0.5126 0.5126 0.0000
```

As for the space group: No. 44.

--- x ---
Compound: KCoRh2
Source: the Alexandria database
Functional: GGA-PBE
Structure: optimized geometry

Structure (POSCAR):
```
KCoRh2
1.0
1.4512 -2.3337 0.0000
1.4512 2.3337 0.0000
0.0000 0.0000 9.6788
K Co Rh
1 1 2
Direct
0.0000 0.0000 0.0000
0.0000 0.0000 0.5000
0.5000 0.5000 0.2877
0.5000 0.5000 0.7123
```

As for the space group: No. 65.

x ends up most stable, edging out the next structure by 0.184 eV/atom.

--- w ---
Compound: KCoRh2
Source: the Alexandria database
Functional: GGA-PBE
Structure: optimized geometry

Structure (POSCAR):
```
KCoRh2
1.0
0.0000 3.2052 3.2052
3.2052 0.0000 3.2052
3.2052 3.2052 0.0000
K Co Rh
1 1 2
Direct
0.0000 0.0000 0.0000
0.5000 0.5000 0.5000
0.2500 0.2500 0.2500
0.7500 0.7500 0.7500
```

As for the space group: No. 225.

--- x ---
Compound: KCoRh2
Source: the Alexandria database
Functional: GGA-PBE
Structure: optimized geometry

Structure (POSCAR):
```
KCoRh2
1.0
1.4057 0.8116 9.6451
-1.4057 0.8116 9.6451
0.0000 -1.6232 9.6451
K Co Rh
1 1 2
Direct
0.0000 0.0000 0.0000
0.5000 0.5000 0.5000
0.2357 0.2357 0.2357
0.7643 0.7643 0.7643
```

As for the space group: No. 166.

--- y ---
Compound: KCoRh2
Source: the Alexandria database
Functional: GGA-PBE
Structure: optimized geometry

Structure (POSCAR):
```
KCoRh2
1.0
4.8619 0.0000 0.0000
0.0000 4.8619 0.0000
0.0000 0.0000 2.8144
K Co Rh
1 1 2
Direct
0.0000 0.0000 0.0000
0.5000 0.5000 0.0000
0.0000 0.5000 0.5000
0.5000 0.0000 0.5000
```

As for the space group: No. 123.

x ends up most stable, edging out the next structure by 0.459 eV/atom.

--- w ---
Compound: KCoRh2
Source: the Alexandria database
Functional: GGA-PBE
Structure: optimized geometry

Structure (POSCAR):
```
KCoRh2
1.0
2.8021 0.0000 0.0000
0.0000 2.8021 0.0000
0.0000 0.0000 8.6627
K Co Rh
1 1 2
Direct
0.0000 0.0000 0.0000
0.0000 0.0000 0.5000
0.5000 0.5000 0.3144
0.5000 0.5000 0.6856
```

As for the space group: No. 123.

--- x ---
Compound: KCoRh2
Source: the Alexandria database
Functional: GGA-PBE
Structure: optimized geometry

Structure (POSCAR):
```
KCoRh2
1.0
2.7202 0.0000 0.0000
0.0000 3.7497 0.0000
0.0000 0.0000 7.4958
K Co Rh
1 1 2
Direct
0.0000 0.0000 0.0000
0.5000 0.5000 0.6560
0.0000 0.0000 0.5187
0.5000 0.5000 0.3288
```

As for the space group: No. 25.

--- y ---
Compound: KCoRh2
Source: the Alexandria database
Functional: GGA-PBE
Structure: optimized geometry

Structure (POSCAR):
```
KCoRh2
1.0
4.3566 -1.3834 0.0000
4.3566 1.3834 0.0000
-0.6211 0.0000 6.6240
K Co Rh
1 1 2
Direct
0.0000 0.0000 0.0000
0.7714 0.7714 0.3581
0.2332 0.2332 0.6549
0.4994 0.4994 0.4891
```

As for the space group: No. 8.

--- z ---
Compound: KCoRh2
Source: the Alexandria database
Functional: GGA-PBE
Structure: optimized geometry

Structure (POSCAR):
```
KCoRh2
1.0
-1.3578 2.5395 4.9945
1.3578 -2.5395 4.9945
1.3578 2.5395 -4.9945
K Co Rh
1 1 2
Direct
0.0000 0.0000 0.0000
0.5000 0.5000 0.0000
0.2886 0.7886 0.5000
0.7114 0.2114 0.5000
```

As for the space group: No. 71.

w ends up most stable, edging out the next structure by 0.049 eV/atom.

--- w ---
Compound: KCoRu
Source: the Alexandria database
Functional: GGA-PBE
Structure: optimized geometry

Structure (POSCAR):
```
KCoRu
1.0
5.6501 0.0000 0.0000
-2.8251 4.8932 0.0000
0.0000 0.0000 8.5927
K Co Ru
2 2 2
Direct
0.3333 0.6667 0.2500
0.6667 0.3333 0.7500
0.0000 0.0000 0.2500
0.0000 0.0000 0.7500
0.0000 0.0000 0.0000
0.0000 0.0000 0.5000
```

As for the space group: No. 194.

--- x ---
Compound: KCoRu
Source: the Alexandria database
Functional: GGA-PBE
Structure: optimized geometry

Structure (POSCAR):
```
KCoRu
1.0
4.4158 0.0000 0.0000
1.6333 4.1128 0.0000
1.4767 -0.2776 10.1688
K Co Ru
2 2 2
Direct
0.0000 0.0000 0.0000
0.2470 0.4385 0.4095
0.5478 0.0116 0.7408
0.5746 0.5068 0.6688
0.0419 0.5101 0.7570
0.0786 0.0028 0.6522
```

As for the space group: No. 1.

--- y ---
Compound: KCoRu
Source: the Alexandria database
Functional: GGA-PBE
Structure: optimized geometry

Structure (POSCAR):
```
KCoRu
1.0
4.1117 0.0000 0.0000
0.0010 4.2888 0.0000
0.0045 0.3746 8.8099
K Co Ru
2 2 2
Direct
0.0000 0.0000 0.0000
0.4986 0.5266 0.6394
0.4988 0.4208 0.2075
0.4988 0.9489 0.3147
0.9986 0.0688 0.4363
0.9987 0.5580 0.3116
```

As for the space group: No. 1.

x ends up most stable, edging out the next structure by 0.015 eV/atom.